First-principles (PBE) data for crystalline As2Se2Cl at its relaxed geometry, as listed in Alexandria.

a = 8.237 Å, b = 8.237 Å, c = 3.616 Å
α = 90.00°, β = 90.00°, γ = 90.00°
Space group P4/mbm (No. 127)
One atom of each set of equivalent atoms:
As: 0.219 0.281 0.000 x4
Se: 0.142 0.642 0.500 x4
Cl: 0.000 0.000 0.000 x2

Calculated values
N(E_F) ... 5.18 states/eV per cell
Formation energy from raw total energies ... -10 kJ/mol of formula units
Relative energy among the computed polymorphs ... 220 meV per atom